{"formula": "MgTcOs", "functional": "GGA-PBE", "state": "optimized geometry", "cell": [[2.9561, 0.0000, 0.0000], [0.0000, 2.9561, 0.0000], [0.0000, 0.0000, 10.4475]], "species": ["Mg", "Mg", "Tc", "Tc", "Os", "Os"], "fractional_positions": [[0.0000, 0.0000, 0.0000], [0.5000, 0.5000, 0.5000], [0.0000, 0.0000, 0.3209], [0.5000, 0.5000, 0.8209], [0.0000, 0.0000, 0.6737], [0.5000, 0.5000, 0.1737]], "de_polymorph_ev_per_atom": 0.0000, "e_tot_ev_per_cell": -46.039, "space_group": "I4mm (107)", "total_magnetization_mub_per_cell": 0.00, "crystal_system": "tetragonal", "n_ef_per_ev_atom": 0.577}